13
Lattice="7.319 -4.541 0.000 7.319 4.541 0.000 -2.223 0.000 6.381" Properties=species:S:1:pos:R:3 comment="Sm3Dy8Sc2 (GGA-PBE, relaxed)" ef_ev_per_fu=3.1 relative_energy_ev_per_atom=0.0000 sg="No. 12" crystal_system=monoclinic magmom_total_mub_per_fu=0.00 pbc="T T T"
Sm 0.000 0.000 0.000
Sm 6.208 2.970 3.191
Sm 6.208 -2.970 3.191
Dy 0.813 0.000 5.727
Dy 3.744 1.639 5.156
Dy 5.369 0.000 1.758
Dy 8.672 1.639 1.225
Dy 3.744 -1.639 5.156
Dy 7.047 0.000 4.623
Dy 8.672 -1.639 1.225
Dy 11.603 0.000 0.654
Sc 2.052 0.000 2.701
Sc 10.364 0.000 3.680